Model i:
The following is a GGA-PBE calculation of a relaxed ZrP2Pt crystal, from the Alexandria database.

The structure in POSCAR format:
```
ZrP2Pt
1.0
3.5523 0.0000 0.0000
0.0000 3.5523 0.0000
0.0000 0.0000 5.3309
Zr P Pt
1 2 1
Cartesian
0.0000 0.0000 0.0000 Zr
0.0000 0.0000 2.7424 P
1.7761 1.7761 0.7740 P
1.7761 1.7761 3.3446 Pt
```

Results
* V: 16.8 Å³/atom

***

Model ii:
The following is a GGA-PBE calculation of a relaxed ZrP2Pt crystal, from the Alexandria database.

The structure in POSCAR format:
```
ZrP2Pt
1.0
3.1053 -1.7997 0.0000
3.1053 1.7997 0.0000
-0.0083 0.0000 6.0947
Zr P Pt
1 2 1
Cartesian
0.0000 0.0000 0.0000 Zr
2.0701 0.0000 4.3792 P
4.1322 0.0000 1.7154 P
-0.0042 0.0000 3.0473 Pt
```

Results
* V: 17.0 Å³/atom

***

model ii is the most stable structure; the next one sits 12.0 kJ/mol of atoms above it.

***

Model i:
The following is a GGA-PBE calculation of a relaxed ZrP2Pt crystal, from the Alexandria database.

The structure in POSCAR format:
```
ZrP2Pt
1.0
4.3635 0.0000 0.0000
0.0000 4.3635 0.0000
0.0000 0.0000 3.2941
Zr P Pt
1 2 1
Cartesian
0.0000 0.0000 0.0000 Zr
0.0000 2.1817 1.6471 P
2.1817 0.0000 1.6471 P
2.1817 2.1817 0.0000 Pt
```

Results
* V: 15.7 Å³/atom

***

Model ii:
The following is a GGA-PBE calculation of a relaxed ZrP2Pt crystal, from the Alexandria database.

The structure in POSCAR format:
```
ZrP2Pt
1.0
2.8671 0.0000 0.0000
0.0000 4.6027 0.0000
-0.6599 0.0000 4.9917
Zr P Pt
1 2 1
Cartesian
0.0000 0.0000 0.0000 Zr
0.6695 0.0000 2.6474 P
1.4178 2.3014 0.8318 P
0.7678 2.3014 3.3601 Pt
```

Results
* V: 16.5 Å³/atom

***

Model iii:
The following is a GGA-PBE calculation of a relaxed ZrP2Pt crystal, from the Alexandria database.

The structure in POSCAR format:
```
ZrP2Pt
1.0
3.4159 0.0000 0.0000
0.0000 3.6719 0.0000
0.0000 0.0000 5.4044
Zr P Pt
1 2 1
Cartesian
0.0000 0.0000 0.0000 Zr
1.7080 1.8360 1.1789 P
1.7080 1.8360 4.2255 P
1.7080 0.0000 2.7022 Pt
```

Results
* V: 16.9 Å³/atom

***

model iii is the most stable structure; the next one sits 4.8 kJ/mol of atoms above it.

***

Model i:
The following is a GGA-PBE calculation of a relaxed ZrP2Pt crystal, from the Alexandria database.

The structure in POSCAR format:
```
ZrP2Pt
1.0
1.9286 -2.7498 0.0000
1.9286 2.7498 0.0000
0.0000 0.0000 6.4201
Zr P Pt
1 2 1
Cartesian
0.0000 0.0000 0.0000 Zr
1.9286 0.0000 1.7415 P
1.9286 0.0000 4.6785 P
0.0000 0.0000 3.2100 Pt
```

Results
* V: 17.0 Å³/atom

***

Model ii:
The following is a GGA-PBE calculation of a relaxed ZrP2Pt crystal, from the Alexandria database.

The structure in POSCAR format:
```
ZrP2Pt
1.0
1.9337 1.1164 5.2927
-1.9337 1.1164 5.2927
0.0000 -2.2329 5.2927
Zr P Pt
1 2 1
Cartesian
0.0000 0.0000 0.0000 Zr
0.0000 0.0000 3.8462 P
0.0000 0.0000 12.0319 P
0.0000 0.0000 7.9390 Pt
```

Results
* V: 17.1 Å³/atom

***

model ii is the most stable structure; the next one sits 10.4 kJ/mol of atoms above it.